(1)
# LiNiH6Pb | Alexandria | GGA-PBE | relaxed
data_LiNiH6Pb
_symmetry_space_group_name_H-M 'C 1 2 1'
_symmetry_Int_Tables_number 5
_symmetry_space_group_name_Hall 'C 2y'
_cell_length_a 4.583
_cell_length_b 8.512
_cell_length_c 4.616
_cell_angle_alpha 90.00
_cell_angle_beta 93.33
_cell_angle_gamma 90.00
loop_
_atom_site_label
_atom_site_type_symbol
_atom_site_fract_x
_atom_site_fract_y
_atom_site_fract_z
Li1 Li 0.000 0.000 0.000
Ni1 Ni 0.000 0.326 0.000
H1 H 0.117 0.194 0.804
H2 H 0.131 0.448 0.800
H3 H 0.229 0.854 0.780
Pb1 Pb 0.000 0.683 0.500
# Total moment   0.00 μB/cell
# Total energy   -3.46 eV/atom

=====

(2)
# Li2NiHPb | Alexandria | GGA-PBE | relaxed
data_Li2NiHPb
_symmetry_space_group_name_H-M 'P 4/m m m'
_symmetry_Int_Tables_number 123
_symmetry_space_group_name_Hall '-P 4 2'
_cell_length_a 4.280
_cell_length_b 4.280
_cell_length_c 3.510
_cell_angle_alpha 90.00
_cell_angle_beta 90.00
_cell_angle_gamma 90.00
loop_
_atom_site_label
_atom_site_type_symbol
_atom_site_fract_x
_atom_site_fract_y
_atom_site_fract_z
Li1 Li 0.000 0.500 0.000
Ni1 Ni 0.000 0.000 0.500
H1 H 0.000 0.000 0.000
Pb1 Pb 0.500 0.500 0.500
# Total moment   0.00 μB/cell
# Total energy   -3.51 eV/atom